A plane-wave DFT calculation with GGA-PBE was carried out for an optimized crystal structure of CeLu2Ru.

- Formation enthalpy at 0 K: -0.267 eV/atom
- Magnetic moment: 1.27 μB/f.u.

```
CeLu2Ru
1.0
3.3544 0.0000 0.0000
0.0000 3.3544 0.0000
0.0000 0.0000 8.8368
Lu Ce Ru
2 1 1
direct
0.0000 0.0000 0.1812
0.0000 0.0000 0.8188
0.5000 0.5000 0.5000
0.5000 0.5000 0.0000
```



A plane-wave DFT calculation with GGA-PBE was carried out for an optimized crystal structure of CeLuRu.

- Energy above the lowest structure with this stoichiometry: 8.1 kJ per mole of atoms
- Formation enthalpy at 0 K: -0.218 eV/atom
- Magnetic moment: 0.70 μB/f.u.

```
CeLuRu
1.0
-0.9129 -2.0783 4.1844
1.5683 -4.4119 0.8588
3.5213 -0.7084 3.1242
Lu Ce Ru
1 1 1
direct
0.0000 0.0000 0.0000
0.5000 0.5000 0.5000
0.2500 0.2500 0.2500
```



A plane-wave DFT calculation with GGA-PBE was carried out for an optimized crystal structure of Ce2LuRu.

- Energy above the lowest structure with this stoichiometry: 0.0 kJ per mole of atoms
- Formation enthalpy at 0 K: -0.079 eV/atom
- Magnetic moment: 0.00 μB/f.u.

```
Ce2LuRu
1.0
3.7004 0.0000 0.0000
0.0000 3.7004 0.0000
0.0000 0.0000 7.2036
Ce Lu Ru
2 1 1
direct
0.0000 0.0000 0.8049
0.0000 0.0000 0.1951
0.5000 0.5000 0.5000
0.5000 0.5000 0.0000
```



A plane-wave DFT calculation with GGA-PBE was carried out for an optimized crystal structure of CeLuRu2.

- Formation enthalpy at 0 K: -0.455 eV/atom
- Magnetic moment: 0.00 μB/f.u.

```
CeLuRu2
1.0
3.3855 0.0000 0.0000
0.0000 4.7998 0.0000
0.0000 0.0000 4.7998
Ce Lu Ru
1 1 2
direct
0.5000 0.0000 0.0000
0.5000 0.5000 0.5000
0.0000 0.5000 0.0000
0.0000 0.0000 0.5000
```



Look up the formation enthalpy at 0 K of the first one.
-0.267 eV/atom